(1)
The following is a GGA-PBE calculation of Te3Pd4S after structural relaxation, from the Alexandria database.

Calculated values
Its space group is Pmn2_1. The calculation puts the energy relative to the elements, uncorrected at -0.204 eV/atom.

a = 5.5803 Å, b = 7.3946 Å, c = 9.1309 Å
α = 90.00°, β = 90.00°, γ = 90.00°
With the nearest neighbours (Å) after each atom.
Atoms (fractional coordinates):
S (0.6233, 0.8060, 0.5000)  4 Pd 2.35-2.39
S (0.1233, 0.1940, 0.0000)  4 Pd 2.35-2.39
Pd (0.5399, 0.1174, 0.5000)  1 S 2.35
Pd (0.5294, 0.6945, 0.7340)  1 S 2.35
Pd (0.6951, 0.1920, 0.0000)  1 S 2.39
Pd (0.5294, 0.6945, 0.2660)  1 S 2.35
Pd (0.0294, 0.3055, 0.7660)  1 S 2.35
Pd (0.1951, 0.8080, 0.5000)  1 S 2.39
Pd (0.0399, 0.8826, 0.0000)  1 S 2.35
Pd (0.0294, 0.3055, 0.2340)  1 S 2.35
Te (0.5318, 0.3297, 0.7429)  5 Pd 2.70-2.82
Te (0.5344, 0.8429, 0.0000)  5 Pd 2.67-2.84
Te (0.5318, 0.3297, 0.2571)  5 Pd 2.70-2.82
Te (0.0318, 0.6703, 0.7571)  5 Pd 2.70-2.82
Te (0.0318, 0.6703, 0.2429)  5 Pd 2.70-2.82
Te (0.0344, 0.1571, 0.5000)  5 Pd 2.67-2.84



(2)
The following is a GGA-PBE calculation of SrMgW after structural relaxation, from the Alexandria database.

Calculated values
Its energy above the lowest structure with this stoichiometry is 0.44 eV/f.u. For the energy of formation from the pure elements, the calculation gives 0.97 eV per atom. Its space group is Imm2.

a = 6.2464 Å, b = 6.2464 Å, c = 6.2464 Å
α = 152.47°, β = 139.69°, γ = 49.51°
With the nearest neighbours (Å) after each atom.
Atoms (fractional coordinates):
Mg (0.0336, 0.0336, 0.0000)  4 W 2.87, 2 Mg 2.97
W (0.6375, 0.6375, 0.0000)  4 Mg 2.87, 2 W 2.97
Sr (0.3289, 0.3289, 0.0000)  2 Sr 2.97



(3)
The following is a GGA-PBE calculation of Nd2TmTh3Se6 after structural relaxation, from the Alexandria database.

Calculated values
Its space group is C2/m. The calculation puts the energy relative to the elements, uncorrected at -1.640 eV/atom.

a = 4.1171 Å, b = 8.5076 Å, c = 9.4989 Å
α = 106.72°, β = 102.52°, γ = 90.00°
With the nearest neighbours (Å) after each atom.
Atoms (fractional coordinates):
Se (0.3399, 0.9197, 0.6798)  1 Tm 2.84, 2 Nd 2.95, 3 Th 2.98-3.03
Se (0.9987, 0.2352, 0.9975)  2 Tm 2.88, 1 Nd 2.97, 3 Th 3.00-3.05
Se (0.6601, 0.0803, 0.3202)  1 Tm 2.84, 2 Nd 2.95, 3 Th 2.98-3.03
Se (0.3324, 0.4187, 0.6649)  3 Nd 2.95, 3 Th 2.97-2.98
Se (0.0013, 0.7648, 0.0025)  2 Tm 2.88, 1 Nd 2.97, 3 Th 3.00-3.05
Se (0.6676, 0.5813, 0.3351)  3 Nd 2.95, 3 Th 2.97-2.98
Th (0.1696, 0.8343, 0.3391)  6 Se 2.97-3.03
Th (0.5000, 0.5000, 0.0000)  6 Se 2.98-3.05
Th (0.8304, 0.1657, 0.6609)  6 Se 2.97-3.03
Tm (0.5000, 0.0000, 0.0000)  6 Se 2.84-2.88
Nd (0.8335, 0.6673, 0.6670)  6 Se 2.95-2.97
Nd (0.1665, 0.3327, 0.3330)  6 Se 2.95-2.97



(4)
The following is a GGA-PBE calculation of Zn6Ni after structural relaxation, from the Alexandria database.

Calculated values
Its energy above the lowest structure with this stoichiometry is 0.00 eV/f.u. For the energy of formation from the pure elements, the calculation gives -0.11 eV per atom. Its space group is Cmcm.

a = 4.8891 Å, b = 4.8891 Å, c = 8.6034 Å
α = 90.00°, β = 90.00°, γ = 97.19°
With the nearest neighbours (Å) after each atom.
Atoms (fractional coordinates):
Zn (0.6783, 0.3217, 0.5000)  2 Ni 2.53, 7 Zn 2.62-2.73
Zn (0.8493, 0.8493, 0.4091)  1 Ni 2.46, 6 Zn 2.50-2.74
Zn (0.6046, 0.9772, 0.7500)  2 Ni 2.50-2.57, 3 Zn 2.73
Zn (0.8493, 0.8493, 0.0909)  1 Ni 2.46, 6 Zn 2.50-2.74
Zn (0.1507, 0.1507, 0.9091)  1 Ni 2.46, 6 Zn 2.50-2.74
Zn (0.0228, 0.3954, 0.2500)  2 Ni 2.50-2.57, 3 Zn 2.73
Zn (0.9772, 0.6046, 0.7500)  2 Ni 2.50-2.57, 3 Zn 2.73
Zn (0.3217, 0.6783, 0.0000)  2 Ni 2.53, 7 Zn 2.62-2.73
Zn (0.1507, 0.1507, 0.5909)  1 Ni 2.46, 6 Zn 2.50-2.74
Zn (0.3217, 0.6783, 0.5000)  2 Ni 2.53, 7 Zn 2.62-2.73
Zn (0.3954, 0.0228, 0.2500)  2 Ni 2.50-2.57, 3 Zn 2.73
Zn (0.6783, 0.3217, 0.0000)  2 Ni 2.53, 7 Zn 2.62-2.73
Ni (0.4667, 0.4667, 0.7500)  10 Zn 2.46-2.57
Ni (0.5333, 0.5333, 0.2500)  10 Zn 2.46-2.57



(5)
The following is a GGA-PBE calculation of Al2GaH after structural relaxation, from the Alexandria database.

Calculated values
Its energy above the lowest structure with this stoichiometry is 0.00 eV/f.u. Its space group is R3m.

a = 2.8886 Å, b = 2.8886 Å, c = 7.9084 Å
α = 79.48°, β = 79.48°, γ = 60.00°
With the nearest neighbours (Å) after each atom.
Atoms (fractional coordinates):
Ga (0.4884, 0.4884, 0.5349)  3 H 2.74, 6 Ga 2.89, 3 Al 2.94
Al (0.0242, 0.0242, 0.9275)  3 H 1.88
Al (0.2597, 0.2597, 0.2210)  9 Al 2.82-2.89, 3 Ga 2.94
H (0.7278, 0.7278, 0.8166)  3 Al 1.88



(6)
The following is a GGA-PBE calculation of PuCuSeO6 after structural relaxation, from the Alexandria database.

Calculated values
Its space group is P-31c. The calculation puts the energy relative to the elements, uncorrected at -1.242 eV/atom.

a = 5.3698 Å, b = 5.3698 Å, c = 8.9984 Å
α = 90.00°, β = 90.00°, γ = 120.00°
With the nearest neighbours (Å) after each atom.
Atoms (fractional coordinates):
O (0.0025, 0.6556, 0.8683)  1 Se 2.05, 1 Pu 2.06, 1 Cu 2.20
O (0.6556, 0.0025, 0.3683)  1 Se 2.05, 1 Pu 2.06, 1 Cu 2.20
O (0.3469, 0.0025, 0.1317)  1 Se 2.05, 1 Pu 2.06, 1 Cu 2.20
O (0.6531, 0.9975, 0.8683)  1 Se 2.05, 1 Pu 2.06, 1 Cu 2.20
O (0.9975, 0.6531, 0.3683)  1 Se 2.05, 1 Pu 2.06, 1 Cu 2.20
O (0.3444, 0.3469, 0.8683)  1 Se 2.05, 1 Pu 2.06, 1 Cu 2.20
O (0.0025, 0.3469, 0.6317)  1 Se 2.05, 1 Pu 2.06, 1 Cu 2.20
O (0.6556, 0.6531, 0.1317)  1 Se 2.05, 1 Pu 2.06, 1 Cu 2.20
O (0.3444, 0.9975, 0.6317)  1 Se 2.05, 1 Pu 2.06, 1 Cu 2.20
O (0.9975, 0.3444, 0.1317)  1 Se 2.05, 1 Pu 2.06, 1 Cu 2.20
O (0.6531, 0.6556, 0.6317)  1 Se 2.05, 1 Pu 2.06, 1 Cu 2.20
O (0.3469, 0.3444, 0.3683)  1 Se 2.05, 1 Pu 2.06, 1 Cu 2.20
Cu (0.0000, 0.0000, 0.0000)  6 O 2.20
Cu (0.0000, 0.0000, 0.5000)  6 O 2.20
Pu (0.6667, 0.3333, 0.7500)  6 O 2.06
Pu (0.3333, 0.6667, 0.2500)  6 O 2.06
Se (0.3333, 0.6667, 0.7500)  6 O 2.05
Se (0.6667, 0.3333, 0.2500)  6 O 2.05



(7)
The following is a GGA-PBE calculation of SiNiS2Cl after structural relaxation, from the Alexandria database.

Calculated values
Its energy above the lowest structure with this stoichiometry is 0.00 eV/f.u. Its space group is P4/mmm. The calculation puts the energy relative to the elements, uncorrected at 0.344 eV/atom.

a = 4.4825 Å, b = 4.4825 Å, c = 4.5357 Å
α = 90.00°, β = 90.00°, γ = 90.00°
With the nearest neighbours (Å) after each atom.
Atoms (fractional coordinates):
S (0.5000, 0.0000, 0.0000)  2 Ni 2.24
S (0.0000, 0.5000, 0.0000)  2 Ni 2.24
Cl (0.0000, 0.0000, 0.5000)  2 Ni 2.27
Ni (0.0000, 0.0000, 0.0000)  4 S 2.24, 2 Cl 2.27
Si (0.5000, 0.5000, 0.5000)  4 Cl 3.17, 8 S 3.19



(8)
The following is a GGA-PBE calculation of AuIBr after structural relaxation, from the Alexandria database.

Calculated values
Its energy above the lowest structure with this stoichiometry is 0.18 eV/f.u. Its space group is P3m1. The calculation puts the energy relative to the elements, uncorrected at 0.075 eV/atom.

a = 5.8234 Å, b = 4.2043 Å, c = 4.2043 Å
α = 120.00°, β = 90.00°, γ = 90.00°
With the nearest neighbours (Å) after each atom.
Atoms (fractional coordinates):
Au (0.0036, 0.0000, 0.0000)  3 Br 2.86, 3 I 2.89
I (0.7338, 0.6667, 0.3333)  3 Au 2.89
Br (0.2626, 0.3333, 0.6667)  3 Au 2.86



(9)
The following is a GGA-PBE calculation of AlAg6Cl12 after structural relaxation, from the Alexandria database.

Calculated values
Its space group is R-3. The calculation puts the energy relative to the elements, uncorrected at -0.621 eV/atom.

a = 8.1155 Å, b = 8.1155 Å, c = 8.1155 Å
α = 84.19°, β = 84.19°, γ = 84.19°
With the nearest neighbours (Å) after each atom.
Atoms (fractional coordinates):
Cl (0.4477, 0.5951, 0.8191)  3 Ag 2.50-2.60
Cl (0.0067, 0.2899, 0.9705)  1 Al 2.35, 1 Ag 2.60
Cl (0.8191, 0.4477, 0.5951)  3 Ag 2.50-2.60
Cl (0.5523, 0.4049, 0.1809)  3 Ag 2.50-2.60
Cl (0.1809, 0.5523, 0.4049)  3 Ag 2.50-2.60
Cl (0.2899, 0.9705, 0.0067)  1 Al 2.35, 1 Ag 2.60
Cl (0.0295, 0.9933, 0.7101)  1 Al 2.35, 1 Ag 2.60
Cl (0.5951, 0.8191, 0.4477)  3 Ag 2.50-2.60
Cl (0.7101, 0.0295, 0.9933)  1 Al 2.35, 1 Ag 2.60
Cl (0.9933, 0.7101, 0.0295)  1 Al 2.35, 1 Ag 2.60
Cl (0.4049, 0.1809, 0.5523)  3 Ag 2.50-2.60
Cl (0.9705, 0.0067, 0.2899)  1 Al 2.35, 1 Ag 2.60
Ag (0.4004, 0.8942, 0.7096)  4 Cl 2.50-2.60
Ag (0.5996, 0.1058, 0.2904)  4 Cl 2.50-2.60
Ag (0.8942, 0.7096, 0.4004)  4 Cl 2.50-2.60
Ag (0.2904, 0.5996, 0.1058)  4 Cl 2.50-2.60
Ag (0.1058, 0.2904, 0.5996)  4 Cl 2.50-2.60
Ag (0.7096, 0.4004, 0.8942)  4 Cl 2.50-2.60
Al (0.0000, 0.0000, 0.0000)  6 Cl 2.35



(10)
The following is a GGA-PBE calculation of LiLa2Sn after structural relaxation, from the Alexandria database.

Calculated values
For the energy of formation from the pure elements, the calculation gives 0.15 eV per atom. Its space group is R-3m.

a = 3.4865 Å, b = 3.4865 Å, c = 12.3083 Å
α = 81.86°, β = 81.86°, γ = 60.00°
With the nearest neighbours (Å) after each atom.
Atoms (fractional coordinates):
Sn (0.0000, 0.0000, 0.0000)  2 La 3.28, 6 Sn 3.49
La (0.0899, 0.0899, 0.7302)  1 Sn 3.28, 3 Li 3.44, 6 La 3.49
La (0.9101, 0.9101, 0.2698)  1 Sn 3.28, 3 Li 3.44, 6 La 3.49
Li (0.5000, 0.5000, 0.5000)  6 La 3.44, 6 Li 3.49



Number 1: total DFT energy (no corrections) -71.92 eV for the cell shown, size of the total moment 0.00 μB/f.u.. Number 2: total DFT energy (no corrections) -13.32 eV for the cell shown, size of the total moment 0.00 μB/f.u.. Number 3: total DFT energy (no corrections) -76.85 eV for the cell shown, size of the total moment 0.00 μB/f.u.. Number 4: total DFT energy (no corrections) -28.36 eV for the cell shown, size of the total moment 0.00 μB/f.u.. Number 5: total DFT energy (no corrections) -13.24 eV for the cell shown, size of the total moment 0.00 μB/f.u.. Number 6: total DFT energy (no corrections) -125.69 eV for the cell shown, size of the total moment 0.98 μB/f.u.. Number 7: total DFT energy (no corrections) -19.59 eV for the cell shown, size of the total moment 0.00 μB/f.u.. Number 8: total DFT energy (no corrections) -6.28 eV for the cell shown, size of the total moment 0.00 μB/f.u.. Number 9: total DFT energy (no corrections) -54.81 eV for the cell shown, size of the total moment 0.00 μB/f.u.. Number 10: total DFT energy (no corrections) -15.17 eV for the cell shown, size of the total moment 0.00 μB/f.u..